This record from Alexandria describes an optimized crystal structure of Sm3Tl5In. The functional is PBE.

Unit cell a=9.265 b=9.265 c=9.092 alpha=120.63 beta=120.63 gamma=90.00
Fractional positions:
Tl 0.548 0.667 0.715
Tl 0.833 0.952 0.285
Tl 0.333 0.833 0.285
Tl 0.667 0.167 0.715
Tl 0.452 0.333 0.285
Tl 0.500 0.500 0.000
Tl 0.000 0.000 0.000
Tl 0.952 0.452 0.285
Tl 0.048 0.548 0.715
Tl 0.167 0.048 0.715
Sm 0.750 0.750 0.500
Sm 0.876 0.624 0.000
Sm 0.376 0.876 0.000
Sm 0.250 0.250 0.500
Sm 0.624 0.124 0.000
Sm 0.124 0.376 0.000
In 0.750 0.250 0.500
In 0.250 0.750 0.500

Properties
Crystal system ... tetragonal
Calculated total energy ... -3.311 eV/atom
Formation energy from the elements ... -0.1195 eV per atom
Total moment ... 0.0 μB/f.u.
DOS(E_F) ... 0.65 states/eV/atom
Symmetry ... I4/mcm